No. 1
DFT (PBE-GGA) results for an optimized crystal structure of Ho2Er6In.

Unit cell a=5.8620 b=11.2428 c=11.2431 alpha=48.03 beta=103.92 gamma=103.91
Last column: nearest neighbours and their distance in Å.
Fractional positions:
Ho: 0.5484 0.1739 0.3352  3 Ho 3.15-3.28, 6 Er 3.44-3.50
Ho: 0.9517 0.6649 0.8261  3 Ho 3.15-3.28, 6 Er 3.44-3.50
Ho: 0.4516 0.8261 0.6648  3 Ho 3.15-3.28, 6 Er 3.44-3.50
Ho: 0.0483 0.3351 0.1739  3 Ho 3.15-3.28, 6 Er 3.44-3.50
Er: 0.2763 0.9928 0.1700  6 Er 3.28-3.51, 2 In 3.32-3.35, 1 Ho 3.49
Er: 0.5521 0.3607 0.4881  7 Er 3.15-3.52, 2 In 3.27-3.51, 1 Ho 3.49
Er: 0.5806 0.5889 0.0752  5 Er 3.25-3.52, 1 In 3.33, 4 Ho 3.44-3.50
Er: 0.4194 0.4111 0.9248  5 Er 3.25-3.52, 1 In 3.33, 4 Ho 3.44-3.50
Er: 0.0807 0.0752 0.5889  5 Er 3.26-3.52, 1 In 3.33, 4 Ho 3.44-3.50
Er: 0.7237 0.0072 0.8300  6 Er 3.28-3.51, 2 In 3.32-3.35, 1 Ho 3.49
Er: 0.2236 0.8300 0.0073  6 Er 3.28-3.51, 2 In 3.32-3.35, 1 Ho 3.49
Er: 0.7764 0.1700 0.9927  6 Er 3.28-3.51, 2 In 3.32-3.35, 1 Ho 3.49
Er: 0.4479 0.6393 0.5119  7 Er 3.15-3.52, 2 In 3.27-3.51, 1 Ho 3.49
Er: 0.9193 0.9248 0.4111  5 Er 3.26-3.52, 1 In 3.33, 4 Ho 3.44-3.50
Er: 0.0521 0.4881 0.3607  7 Er 3.15-3.52, 2 In 3.27-3.51, 1 Ho 3.49
Er: 0.9479 0.5119 0.6393  7 Er 3.15-3.52, 2 In 3.27-3.51, 1 Ho 3.49
In: 0.7499 0.7734 0.2266  10 Er 3.27-3.51
In: 0.2501 0.2266 0.7734  10 Er 3.27-3.51

Summary:
E above lowest polymorph (meV per atom): 19
Total moment (μB/atom): 0.000
Energy of formation (eV/atom): -0.01


No. 2
DFT (PBE-GGA) results for an optimized crystal structure of Tb3Pr2Sm2.

Unit cell a=6.2790 b=6.2819 c=6.2765 alpha=80.37 beta=80.33 gamma=99.63
Last column: nearest neighbours and their distance in Å.
Fractional positions:
Pr: 0.5708 0.1448 0.7151  4 Sm 3.61-3.64, 6 Tb 3.62-3.64, 2 Pr 3.62-3.65
Pr: 0.4292 0.8552 0.2849  4 Sm 3.61-3.64, 6 Tb 3.62-3.64, 2 Pr 3.62-3.65
Sm: 0.8580 0.7140 0.5729  6 Tb 3.60-3.64, 4 Pr 3.61-3.64, 2 Sm 3.62
Sm: 0.1420 0.2860 0.4271  6 Tb 3.60-3.64, 4 Pr 3.61-3.64, 2 Sm 3.62
Tb: 0.2831 0.5706 0.8585  4 Tb 3.59-3.64, 4 Sm 3.60-3.64, 4 Pr 3.62-3.64
Tb: 0.0000 0.0000 0.0000  4 Tb 3.62, 4 Pr 3.62-3.63, 4 Sm 3.62-3.63
Tb: 0.7169 0.4294 0.1415  4 Tb 3.59-3.64, 4 Sm 3.60-3.64, 4 Pr 3.62-3.64

Summary:
E above lowest polymorph (meV per atom): 0
Total moment (μB/atom): 0.000
Energy of formation (eV/atom): 0.02


No. 3
DFT (PBE-GGA) results for an optimized crystal structure of ReTeP2O.

Unit cell a=4.8411 b=4.8411 c=3.7681 alpha=90.00 beta=90.00 gamma=90.00
Last column: nearest neighbours and their distance in Å.
Fractional positions:
P: 0.5000 0.0000 0.0000  2 Re 2.42
P: 0.0000 0.5000 0.0000  2 Re 2.42
Te: 0.5000 0.5000 0.5000  8 P 3.07, 4 O 3.42
O: 0.0000 0.0000 0.5000  2 Re 1.88
Re: 0.0000 0.0000 0.0000  2 O 1.88

Summary:
Uncorrected formation energy (eV per atom): -0.107
E above lowest polymorph (meV per atom): 0
Total moment (μB/atom): 0.000


No. 4
DFT (PBE-GGA) results for an optimized crystal structure of Pr3Y4.

Unit cell a=3.5343 b=8.8901 c=9.2987 alpha=122.58 beta=100.96 gamma=90.00
Last column: nearest neighbours and their distance in Å.
Fractional positions:
Pr: 0.7781 0.7052 0.5562  5 Pr 3.41-3.66, 6 Y 3.55-3.72
Pr: 0.0000 0.0000 0.0000  4 Pr 3.41-3.53, 6 Y 3.48-3.76
Pr: 0.2219 0.2948 0.4438  5 Pr 3.41-3.66, 6 Y 3.55-3.72
Y: 0.3642 0.1390 0.7284  8 Y 3.53-3.91, 5 Pr 3.55-3.76
Y: 0.6358 0.8610 0.2716  8 Y 3.53-3.91, 5 Pr 3.55-3.76
Y: 0.0772 0.4557 0.1543  5 Y 3.32-3.61, 4 Pr 3.48-3.63
Y: 0.9228 0.5443 0.8457  5 Y 3.32-3.61, 4 Pr 3.48-3.63

Summary:
Total moment (μB/atom): 0.000
Energy of formation (eV/atom): 0.12


No. 5
DFT (PBE-GGA) results for an optimized crystal structure of MnGaTe2N.

Unit cell a=5.7408 b=5.7408 c=3.5134 alpha=90.00 beta=90.00 gamma=90.00
Last column: nearest neighbours and their distance in Å.
Fractional positions:
Mn: 0.5000 0.5000 0.5000  8 Te 3.37, 2 Mn 3.51
Te: 0.5000 0.0000 0.0000  2 Ga 2.87
Te: 0.0000 0.5000 0.0000  2 Ga 2.87
N: 0.0000 0.0000 0.5000  2 Ga 1.76
Ga: 0.0000 0.0000 0.0000  2 N 1.76

Summary:
Uncorrected formation energy (eV per atom): 0.721
E above lowest polymorph (meV per atom): 607
Total moment (μB/atom): 0.935


No. 6
DFT (PBE-GGA) results for an optimized crystal structure of LaTlTc2.

Unit cell a=3.1581 b=3.1577 c=9.0015 alpha=69.46 beta=90.00 gamma=90.00
Last column: nearest neighbours and their distance in Å.
Fractional positions:
Tc: 0.5000 0.2944 0.2058  4 Tc 2.59
Tc: 0.0000 0.9490 0.0509  4 Tc 2.59
Tl: 0.0000 0.5409 0.4589  5 Tc 3.09-3.44, 4 Tl 3.16
La: 0.5000 0.7157 0.7844  4 La 3.16, 4 Tc 3.17

Summary:
E above lowest polymorph (meV per atom): 0
Total moment (μB/atom): 0.000
Energy of formation (eV/atom): 0.11


No. 7
DFT (PBE-GGA) results for an optimized crystal structure of La2HfAgN.

Unit cell a=5.2795 b=5.2795 c=4.2671 alpha=90.00 beta=90.00 gamma=90.00
Last column: nearest neighbours and their distance in Å.
Fractional positions:
N: 0.0000 0.0000 0.0000  2 Hf 2.13
Ag: 0.5000 0.5000 0.5000  8 La 3.39, 4 Hf 3.73
La: 0.0000 0.5000 0.0000  2 N 2.64
La: 0.5000 0.0000 0.0000  2 N 2.64
Hf: 0.0000 0.0000 0.5000  2 N 2.13

Summary:
Uncorrected formation energy (eV per atom): -0.611
Total moment (μB/atom): 0.088


No. 8
DFT (PBE-GGA) results for an optimized crystal structure of AcAgCO4.

Unit cell a=5.5305 b=6.4963 c=6.4963 alpha=80.11 beta=64.81 gamma=64.81
Last column: nearest neighbours and their distance in Å.
Fractional positions:
Ac: 0.0000 0.0000 0.0000  6 O 2.58-2.71
Ac: 0.0000 0.5000 0.5000  6 O 2.58-2.71
Ag: 0.5000 0.0000 0.5000  2 O 2.05
Ag: 0.0000 0.0000 0.5000  2 O 2.05
O: 0.3082 0.3029 0.0807  1 C 1.32
O: 0.2703 0.7521 0.2521  1 C 1.59
O: 0.3082 0.5807 0.8029  1 C 1.32
O: 0.7254 0.7521 0.2521  1 C 1.59
O: 0.7297 0.2479 0.7479  1 C 1.59
O: 0.6918 0.4193 0.1971  1 C 1.32
O: 0.2746 0.2479 0.7479  1 C 1.59
O: 0.6918 0.6971 0.9193  1 C 1.32
C: 0.6160 0.6340 0.1340  2 O 1.32
C: 0.3840 0.3660 0.8660  2 O 1.32

Summary:
Uncorrected formation energy (eV per atom): -1.561
Total moment (μB/atom): 0.000


No. 9
DFT (PBE-GGA) results for an optimized crystal structure of Pu3Hf2UN6.

Unit cell a=5.8184 b=5.8184 c=5.9121 alpha=99.42 beta=99.42 gamma=120.00
Last column: nearest neighbours and their distance in Å.
Fractional positions:
N: 0.5887 0.9259 0.7782  2 Hf 2.29, 1 U 2.32, 3 Pu 2.46-2.49
N: 0.9259 0.5887 0.7782  2 Hf 2.29, 1 U 2.32, 3 Pu 2.46-2.49
N: 0.0741 0.4113 0.2218  2 Hf 2.29, 1 U 2.32, 3 Pu 2.46-2.49
N: 0.2635 0.2635 0.7785  2 Hf 2.29, 1 U 2.32, 3 Pu 2.47-2.51
N: 0.4113 0.0741 0.2218  2 Hf 2.29, 1 U 2.32, 3 Pu 2.46-2.49
N: 0.7365 0.7365 0.2215  2 Hf 2.29, 1 U 2.32, 3 Pu 2.47-2.51
Pu: 0.1681 0.8319 0.5000  6 N 2.46-2.51
Pu: 0.5000 0.5000 0.5000  6 N 2.47-2.49
Pu: 0.8319 0.1681 0.5000  6 N 2.46-2.51
Hf: 0.6665 0.3335 0.0000  6 N 2.29
Hf: 0.3335 0.6665 0.0000  6 N 2.29
U: 0.0000 0.0000 0.0000  6 N 2.32

Summary:
Uncorrected formation energy (eV per atom): -1.494
Total moment (μB/atom): 1.259


No. 10
DFT (PBE-GGA) results for an optimized crystal structure of ZrAl2Pb.

Unit cell a=9.3799 b=9.3799 c=9.3799 alpha=20.38 beta=20.38 gamma=20.38
Last column: nearest neighbours and their distance in Å.
Fractional positions:
Al: 0.2560 0.2560 0.2560  3 Al 2.78, 3 Pb 3.03
Al: 0.9955 0.9955 0.9955  3 Al 2.78, 3 Zr 2.97
Zr: 0.7445 0.7445 0.7445  3 Al 2.97, 3 Pb 3.20, 6 Zr 3.32
Pb: 0.5041 0.5041 0.5041  3 Al 3.03, 3 Zr 3.20, 6 Pb 3.32

Summary:
Total moment (μB/atom): 0.000
Energy of formation (eV/atom): 0.06


No. 11
DFT (PBE-GGA) results for an optimized crystal structure of Sr2GaF6.

Unit cell a=5.3906 b=5.3906 c=11.1439 alpha=90.00 beta=90.00 gamma=90.00
Last column: nearest neighbours and their distance in Å.
Fractional positions:
F: 0.2138 0.7862 0.0000  1 Ga 2.18
F: 0.7862 0.2138 0.0000  1 Ga 2.18
F: 0.2862 0.2862 0.5000  1 Ga 2.18
F: 0.1831 0.8169 0.6538  1 Ga 2.21, 2 Sr 2.42-2.45
F: 0.6831 0.6831 0.8462  1 Ga 2.21, 2 Sr 2.42-2.45
F: 0.3169 0.3169 0.8462  1 Ga 2.21, 2 Sr 2.42-2.45
F: 0.1831 0.8169 0.3462  1 Ga 2.21, 2 Sr 2.42-2.45
F: 0.8169 0.1831 0.3462  1 Ga 2.21, 2 Sr 2.42-2.45
F: 0.3169 0.3169 0.1538  1 Ga 2.21, 2 Sr 2.42-2.45
F: 0.8169 0.1831 0.6538  1 Ga 2.21, 2 Sr 2.42-2.45
F: 0.6831 0.6831 0.1538  1 Ga 2.21, 2 Sr 2.42-2.45
F: 0.7138 0.7138 0.5000  1 Ga 2.18
Sr: 0.5000 0.5000 0.6656  6 F 2.42-2.46
Sr: 0.0000 0.0000 0.8344  6 F 2.42-2.46
Sr: 0.5000 0.5000 0.3344  6 F 2.42-2.46
Sr: 0.0000 0.0000 0.1656  6 F 2.42-2.46
Ga: 0.0000 0.0000 0.5000  6 F 2.18-2.21
Ga: 0.5000 0.5000 0.0000  6 F 2.18-2.21

Summary:
Uncorrected formation energy (eV per atom): -3.196
Total moment (μB/atom): 0.100


No. 12
DFT (PBE-GGA) results for an optimized crystal structure of TbDy8Tm5.

Unit cell a=8.3608 b=8.3609 c=8.3608 alpha=111.18 beta=106.11 gamma=111.18
Last column: nearest neighbours and their distance in Å.
Fractional positions:
Dy: 0.3424 0.2627 0.4256  4 Tm 3.09-3.42, 1 Tb 3.20
Dy: 0.1629 0.7373 0.0797  4 Tm 3.09-3.42, 1 Tb 3.20
Dy: 0.0788 0.7457 0.4729  5 Tm 3.28-3.50, 3 Dy 3.53-3.58
Dy: 0.9203 0.0832 0.6576  4 Tm 3.09-3.42, 1 Tb 3.20
Dy: 0.5271 0.6058 0.2727  5 Tm 3.28-3.50, 3 Dy 3.53-3.58
Dy: 0.5744 0.9168 0.8371  4 Tm 3.09-3.42, 1 Tb 3.20
Dy: 0.6669 0.3942 0.9212  5 Tm 3.28-3.50, 3 Dy 3.53-3.58
Dy: 0.7273 0.2543 0.3331  5 Tm 3.28-3.50, 3 Dy 3.53-3.58
Tm: 0.8145 0.6806 0.7177  8 Dy 3.31-3.50, 2 Tm 3.49
Tm: 0.0371 0.3194 0.1339  8 Dy 3.31-3.50, 2 Tm 3.49
Tm: 0.5000 0.0000 0.5000  8 Dy 3.09-3.28
Tm: 0.2823 0.0967 0.9629  8 Dy 3.31-3.50, 2 Tm 3.49
Tm: 0.8661 0.9033 0.1855  8 Dy 3.31-3.50, 2 Tm 3.49
Tb: 0.2500 0.5000 0.7500  4 Dy 3.20

Summary:
Total moment (μB/atom): 0.000
Energy of formation (eV/atom): 0.26


Let's list total DFT energy (no corrections) in order: -78.7, -32.8, -31.9, -39.4, -23.2, -27.6, -34.0, -93.9, -142.1, -19.5, -92.8, -60.2 eV for the cell shown.